Compound: Ba2SrAs
Source: Alexandria via LeMat-Bulk
Functional: PBE
Structure: optimized geometry

POSCAR file:
```
Ba2SrAs
1.0
9.3231 -0.0225 0.0117
7.0399 6.1124 -0.0117
-7.9512 -3.6637 3.2057
Sr As Ba
1 1 2
direct
0.7500 0.2500 0.5000 Sr
0.2500 0.7500 0.5000 As
0.0952 0.0952 0.0000 Ba
0.4048 0.4048 0.0000 Ba
```

E = -3.09 eV/atom
space-group type = Immm, No. 71
DOS(E_F) = 0.85 states/eV/atom